{"formula": "GdCdNiPd", "functional": "PBE", "state": "optimized geometry", "cell": [[4.7464, 0.0000, 0.0000], [2.3732, 4.1105, 0.0000], [2.3732, 1.3702, 3.8754]], "species": ["Ni", "Gd", "Pd", "Cd"], "frac_coords": [[0.5000, 0.5000, 0.5000], [0.2500, 0.2500, 0.2500], [0.0000, 0.0000, 0.0000], [0.7500, 0.7500, 0.7500]], "magmom_total_mub_per_fu": 7.06, "energy_ev_per_cell": -27.72, "space_group": "F-43m (216)", "rho_g_cm3": 9.55}